1.
DFT (PBE) results for crystalline SrPm4Ag5 at its relaxed geometry.

Unit cell a=3.751 b=3.751 c=19.054 alpha=90.00 beta=90.00 gamma=90.00
Fractional coordinates of all 10 atoms:
Sr: 0.000 0.000 0.000
Pm: 0.000 0.000 0.795
Pm: 0.000 0.000 0.402
Pm: 0.000 0.000 0.205
Pm: 0.000 0.000 0.598
Ag: 0.500 0.500 0.885
Ag: 0.500 0.500 0.303
Ag: 0.500 0.500 0.500
Ag: 0.500 0.500 0.697
Ag: 0.500 0.500 0.115

As for the size of the total moment: 0.000 μB/f.u. For the energy of formation from the pure elements, the calculation gives -0.2663 eV/atom. The space-group type is P4/mmm, No. 123.



2.
DFT (PBE) results for crystalline Ni2RhN at its relaxed geometry.

Unit cell a=2.695 b=2.695 c=7.489 alpha=79.63 beta=79.63 gamma=60.00
Fractional coordinates of all 4 atoms:
Ni: 0.115 0.115 0.655
Ni: 0.885 0.885 0.345
Rh: 0.000 0.000 0.000
N: 0.500 0.500 0.500

As for the size of the total moment: 0.024 μB/f.u. The space-group type is R-3m, No. 166. The value obtained for the uncorrected formation energy is 0.514 eV per atom.



3.
DFT (PBE) results for crystalline Cr3BiIr at its relaxed geometry.

Unit cell a=4.695 b=4.695 c=4.695 alpha=90.00 beta=90.00 gamma=90.00
Last column: magnetic moment on the atom in μB.
Fractional coordinates of all 5 atoms:
Bi: 0.000 0.000 0.000  0.02
Cr: 0.000 0.000 0.500  -0.18
Cr: 0.000 0.500 0.000  -0.20
Cr: 0.500 0.000 0.000  -0.13
Ir: 0.500 0.500 0.500  0.60

As for the size of the total moment: 0.115 μB/f.u. For the energy of formation from the pure elements, the calculation gives 2.6885 eV/atom. The space-group type is Pm-3m, No. 221.



4.
DFT (PBE) results for crystalline BaTeF3 at its relaxed geometry.

Unit cell a=5.116 b=5.116 c=5.116 alpha=90.00 beta=90.00 gamma=90.00
Last column: magnetic moment on the atom in μB.
Fractional coordinates of all 5 atoms:
F: 0.000 0.000 0.500  0.15
F: 0.000 0.500 0.000  0.08
F: 0.500 0.000 0.000  0.11
Ba: 0.000 0.000 0.000  0.00
Te: 0.500 0.500 0.500  1.45

As for the size of the total moment: 3.000 μB/f.u. The space-group type is Pm-3m, No. 221. The value obtained for the uncorrected formation energy is -2.121 eV per atom.



5.
DFT (PBE) results for crystalline RuPbO4 at its relaxed geometry.

Unit cell a=4.940 b=5.630 c=5.881 alpha=108.26 beta=90.00 gamma=90.00
Last column: magnetic moment on the atom in μB.
Fractional coordinates of all 12 atoms:
Ru: 0.500 0.500 0.000  0.45
Ru: 0.000 0.000 0.000  0.45
O: 0.635 0.610 0.328  0.06
O: 0.205 0.323 0.112  0.01
O: 0.135 0.890 0.672  0.06
O: 0.705 0.177 0.888  0.01
O: 0.795 0.677 0.888  0.01
O: 0.295 0.823 0.112  0.01
O: 0.365 0.390 0.672  0.06
O: 0.865 0.110 0.328  0.06
Pb: 0.500 0.000 0.500  -0.01
Pb: 0.000 0.500 0.500  -0.01

As for the size of the total moment: 0.634 μB/f.u. The space-group type is P2_1/c, No. 14. The value obtained for the uncorrected formation energy is -0.905 eV per atom.



6.
DFT (PBE) results for crystalline Rb2NaBr at its relaxed geometry.

Unit cell a=6.536 b=6.536 c=6.536 alpha=60.00 beta=60.00 gamma=60.00
Fractional coordinates of all 4 atoms:
Na: 0.000 0.000 0.000
Rb: 0.250 0.250 0.250
Rb: 0.750 0.750 0.750
Br: 0.500 0.500 0.500

As for the size of the total moment: 0.000 μB/f.u. The space-group type is Fm-3m, No. 225. The value obtained for the uncorrected formation energy is -0.640 eV per atom.